# Cs2NpI8 (PBE-GGA, optimized geometry)
data_Cs2NpI8
_chemical_formula_sum 'Cs2 Np1 I8'
_cell_length_a 6.6910
_cell_length_b 10.3744
_cell_length_c 10.3744
_cell_angle_alpha 76.29
_cell_angle_beta 79.90
_cell_angle_gamma 79.90
_symmetry_space_group_name_H-M 'P 1'
_symmetry_Int_Tables_number 1
_symmetry_space_group_name_Hall 'P 1'
loop_
_atom_site_label
_atom_site_type_symbol
_atom_site_fract_x
_atom_site_fract_y
_atom_site_fract_z
Cs1 Cs 0.1052 0.2858 0.2858
I1 I 0.3252 0.8422 0.8422
I2 I 0.2071 0.9101 0.2394
I3 I 0.7929 0.7606 0.0899
I4 I 0.6748 0.1578 0.1578
I5 I 0.2071 0.2394 0.9101
Cs2 Cs 0.8948 0.7142 0.7142
I6 I 0.7929 0.0899 0.7606
I7 I 0.7429 0.5016 0.5016
Np1 Np 0.0000 0.0000 0.0000
I8 I 0.2571 0.4984 0.4984
# * mass density: 3.70 Mg/m³
# * raw formation energy: -941 kJ/mol of formula units
# * total magnetic moment: 2.16 μB per cell

# Pr2Y2Ho4Tm (PBE-GGA, optimized geometry)
data_Pr2Y2Ho4Tm
_chemical_formula_sum 'Pr2 Y2 Ho4 Tm1'
_cell_length_a 3.6068
_cell_length_b 9.5218
_cell_length_c 9.5773
_cell_angle_alpha 115.20
_cell_angle_beta 90.00
_cell_angle_gamma 100.92
_symmetry_space_group_name_H-M 'P 1'
_symmetry_Int_Tables_number 1
_symmetry_space_group_name_Hall 'P 1'
loop_
_atom_site_label
_atom_site_type_symbol
_atom_site_fract_x
_atom_site_fract_y
_atom_site_fract_z
Tm1 Tm 0.0000 0.0000 0.0000
Ho1 Ho 0.1851 0.3702 0.3365
Ho2 Ho 0.4805 0.9611 0.6662
Pr1 Pr 0.3353 0.6706 0.9998
Ho3 Ho 0.5195 0.0389 0.3338
Y1 Y 0.1463 0.2926 0.6615
Y2 Y 0.8537 0.7074 0.3385
Ho4 Ho 0.8149 0.6298 0.6635
Pr2 Pr 0.6647 0.3294 0.0002
# * mass density: 7.35 Mg/m³
# * total magnetic moment: 0.00 μB per cell
# * DFT formation energy: 0.000 eV per atom

no.,E_tot (eV/atom)
1,-3.346
2,-5.030